[1]
This record from the Alexandria database describes a relaxed BaSrTl crystal. The functional is GGA-PBEsol.

Summary:
SG = I4mm, No. 107
DFT formation energy = -1.00 eV per formula unit
Calculated total energy = -0.0933 Ha/atom
Size of the total moment = 0.000 μB per atom

a b c (Å): 4.154 4.154 7.766
angles (deg): 105.51 105.51 90.00
Fractional coordinates of all 3 atoms:
Tl 0.326 0.326 0.652
Sr 0.703 0.703 0.407
Ba 0.971 0.971 0.941

[2]
This record from the Alexandria database describes a relaxed BaSr2Tl crystal. The functional is GGA-PBEsol.

Summary:
SG = P4/mmm, No. 123
DFT formation energy = -0.90 eV per formula unit
Calculated total energy = -0.0860 Ha/atom
Size of the total moment = 0.000 μB per atom
Energy relative to the lowest polymorph listed for this composition = 0.05 eV per formula unit

a b c (Å): 4.049 4.049 10.623
angles (deg): 90.00 90.00 90.00
Fractional coordinates of all 4 atoms:
Sr 0.000 0.000 0.183
Sr 0.000 0.000 0.817
Ba 0.500 0.500 0.500
Tl 0.500 0.500 0.000

[3]
This record from the Alexandria database describes a relaxed BaSr2Tl crystal. The functional is GGA-PBEsol.

Summary:
SG = P2/m, No. 10
DFT formation energy = -0.49 eV per formula unit
Calculated total energy = -0.0822 Ha/atom
Size of the total moment = 0.000 μB per atom
Energy relative to the lowest polymorph listed for this composition = 0.47 eV per formula unit

a b c (Å): 4.199 5.488 7.615
angles (deg): 90.00 103.00 90.00
Fractional coordinates of all 4 atoms:
Ba 0.500 0.500 0.500
Tl 0.500 0.500 0.000
Sr 0.116 0.000 0.786
Sr 0.884 0.000 0.214

[4]
This record from the Alexandria database describes a relaxed BaSr2Tl crystal. The functional is GGA-PBEsol.

Summary:
SG = Fm-3m, No. 225
DFT formation energy = -0.43 eV per formula unit
Calculated total energy = -0.0816 Ha/atom
Size of the total moment = 0.001 μB per atom
Energy relative to the lowest polymorph listed for this composition = 0.53 eV per formula unit

a b c (Å): 6.031 6.031 6.031
angles (deg): 60.00 60.00 60.00
Fractional coordinates of all 4 atoms:
Sr 0.750 0.750 0.750
Sr 0.250 0.250 0.250
Tl 0.500 0.500 0.500
Ba 0.000 0.000 0.000